No. 1
LiRu2Pt2 | PBE | optimized geometry

Calculated values
DFT formation energy ... 293 meV/atom
Offset from the most stable computed form ... 0.236 eV/atom
Raw total energy ... -6.216 eV/atom
Crystal system ... tetragonal
Size of the total moment ... 0.00 μB/f.u.

CIF file:
```
data_LiRu2Pt2
_chemical_formula_sum 'Li2 Ru4 Pt4'
_symmetry_space_group_name_H-M 'I 4/m m m'
_symmetry_Int_Tables_number 139
_symmetry_space_group_name_Hall '-I 4 2'
_cell_length_a 3.917
_cell_length_b 3.917
_cell_length_c 11.252
_cell_angle_alpha 90.00
_cell_angle_beta 90.00
_cell_angle_gamma 90.00
loop_
_atom_site_label
_atom_site_fract_x
_atom_site_fract_y
_atom_site_fract_z
_atom_site_occupancy
Li1 0.000 0.000 0.000 1
Ru1 0.000 0.000 0.403 1
Pt1 0.000 0.500 0.250 1
```

=====

No. 2
Mg3WSe | PBE | optimized geometry

Calculated values
Offset from the most stable computed form ... 0.000 eV/atom
ΔE_f (raw) ... 0.886 eV/atom
Raw total energy ... -3.359 eV/atom
Crystal system ... cubic
Size of the total moment ... 3.58 μB/f.u.

CIF file:
```
data_Mg3WSe
_chemical_formula_sum 'Mg3 W1 Se1'
_symmetry_space_group_name_H-M 'P m -3 m'
_symmetry_Int_Tables_number 221
_symmetry_space_group_name_Hall '-P 4 2 3'
_cell_length_a 4.946
_cell_length_b 4.946
_cell_length_c 4.946
_cell_angle_alpha 90.00
_cell_angle_beta 90.00
_cell_angle_gamma 90.00
loop_
_atom_site_label
_atom_site_fract_x
_atom_site_fract_y
_atom_site_fract_z
_atom_site_occupancy
Mg1 0.000 0.000 0.500 1
W1 0.500 0.500 0.500 1
Se1 0.000 0.000 0.000 1
```

=====

No. 3
CoSi2Ru | PBE | optimized geometry

Calculated values
ΔE_f (raw) ... 0.095 eV/atom
Raw total energy ... -6.712 eV/atom
Crystal system ... tetragonal
Size of the total moment ... 0.00 μB/f.u.

CIF file:
```
data_CoSi2Ru
_chemical_formula_sum 'Co4 Si8 Ru4'
_symmetry_space_group_name_H-M 'I -4 2 d'
_symmetry_Int_Tables_number 122
_symmetry_space_group_name_Hall 'I -4 2bw'
_cell_length_a 6.215
_cell_length_b 6.215
_cell_length_c 5.634
_cell_angle_alpha 90.00
_cell_angle_beta 90.00
_cell_angle_gamma 90.00
loop_
_atom_site_label
_atom_site_fract_x
_atom_site_fract_y
_atom_site_fract_z
_atom_site_occupancy
Co1 0.000 0.000 0.000 1
Si1 0.227 0.750 0.125 1
Ru1 0.000 0.000 0.500 1
```

=====

No. 4
Cu2ReCl | PBE | optimized geometry

Calculated values
Offset from the most stable computed form ... 0.331 eV/atom
ΔE_f (raw) ... 0.667 eV/atom
Raw total energy ... -4.954 eV/atom
Crystal system ... orthorhombic
Size of the total moment ... 0.00 μB/f.u.

CIF file:
```
data_Cu2ReCl
_chemical_formula_sum 'Cu4 Re2 Cl2'
_symmetry_space_group_name_H-M 'C m m m'
_symmetry_Int_Tables_number 65
_symmetry_space_group_name_Hall '-C 2 2'
_cell_length_a 5.023
_cell_length_b 8.473
_cell_length_c 2.676
_cell_angle_alpha 90.00
_cell_angle_beta 90.00
_cell_angle_gamma 90.00
loop_
_atom_site_label
_atom_site_fract_x
_atom_site_fract_y
_atom_site_fract_z
_atom_site_occupancy
Cu1 0.250 0.250 0.000 1
Re1 0.000 0.000 0.500 1
Cl1 0.000 0.500 0.500 1
```

=====

No. 5
Pm6CoIr2 | PBE | optimized geometry

Calculated values
DFT formation energy ... -398 meV/atom
Raw total energy ... -6.323 eV/atom
Crystal system ... monoclinic
Size of the total moment ... 0.00 μB/f.u.

CIF file:
```
data_Pm6CoIr2
_chemical_formula_sum 'Pm12 Co2 Ir4'
_symmetry_space_group_name_H-M 'P 1 21/c 1'
_symmetry_Int_Tables_number 14
_symmetry_space_group_name_Hall '-P 2ybc'
_cell_length_a 6.713
_cell_length_b 7.432
_cell_length_c 11.810
_cell_angle_alpha 90.00
_cell_angle_beta 122.93
_cell_angle_gamma 90.00
loop_
_atom_site_label
_atom_site_fract_x
_atom_site_fract_y
_atom_site_fract_z
_atom_site_occupancy
Pm1 0.095 0.047 0.250 1
Pm2 0.246 0.681 0.073 1
Pm3 0.395 0.174 0.066 1
Co1 0.000 0.000 0.000 1
Ir1 0.307 0.115 0.758 1
```

=====

No. 6
TaCdP2 | PBE | optimized geometry

Calculated values
DFT formation energy ... -225 meV/atom
Raw total energy ... -6.122 eV/atom
Crystal system ... trigonal
Size of the total moment ... 0.00 μB/f.u.

CIF file:
```
data_TaCdP2
_chemical_formula_sum 'Ta3 Cd3 P6'
_symmetry_space_group_name_H-M 'R -3 m'
_symmetry_Int_Tables_number 166
_symmetry_space_group_name_Hall '-R 3 2"'
_cell_length_a 3.4906
_cell_length_b 3.4906
_cell_length_c 21.2889
_cell_angle_alpha 90.00
_cell_angle_beta 90.00
_cell_angle_gamma 120.00
loop_
_atom_site_label
_atom_site_fract_x
_atom_site_fract_y
_atom_site_fract_z
_atom_site_occupancy
Ta1 0.0000 0.0000 0.0000 1
Cd1 0.0000 0.0000 0.5000 1
P1 0.0000 0.0000 0.2608 1
```